Material: SmVF2
Method: DFT, PBE with a Hubbard U
State: optimized geometry

Computed properties:
* magnetic moment: 1.613 Bohr magnetons per cell
* N(E_F): 0.29 states/eV/atom
* E: -22.989 eV per cell
* SG: R-3m, No. 166

Structure (extended XYZ):
```
4
Lattice="-3.432 -0.835 -0.643 -0.984 -3.439 -0.302 -2.599 -1.657 5.998" Properties=species:S:1:pos:R:3 pbc="T T T"
F -2.169 -1.568 3.589
F -4.846 -4.363 1.464
Sm 0.000 0.000 0.000
V -3.507 -2.966 2.527
```